[1]
BMo3Pd | SCAN | single point on PBEsol structure

Cell: 4.6116 4.6116 4.6116 Å, 90.00 90.00 90.00°
Last column: nearest neighbours and their distance in Å.
Positions (direct):
Mo1 0.0000 0.5000 0.0000  2 Pd 2.31
Mo2 0.0000 0.0000 0.5000  2 Pd 2.31
Mo3 0.5000 0.0000 0.0000  2 Pd 2.31
B1 0.5000 0.5000 0.5000  12 Mo 3.26
Pd1 0.0000 0.0000 0.0000  6 Mo 2.31

Summary:
Formation energy from the elements   1392 kJ/mol of formula units
Crystal system   cubic
Space group   No. 221

[2]
BTe2MoPd | SCAN | single point on PBEsol structure

Cell: 3.8727 5.2991 5.2991 Å, 90.00 90.00 90.00°
Last column: nearest neighbours and their distance in Å.
Positions (direct):
Mo1 0.5000 0.5000 0.5000  8 Te 3.28
Te1 0.0000 0.0000 0.5000  2 Pd 2.65
Te2 0.0000 0.5000 0.0000  2 Pd 2.65
B1 0.5000 0.0000 0.0000  2 Pd 1.94
Pd1 0.0000 0.0000 0.0000  2 B 1.94

Summary:
Uncorrected formation energy   0.8214 eV/atom
Crystal system   tetragonal
Space group   No. 123

[3]
BMoPt3 | SCAN | single point on PBEsol structure

Cell: 4.7454 4.7454 4.7454 Å, 90.00 90.00 90.00°
Last column: nearest neighbours and their distance in Å.
Positions (direct):
Mo1 0.0000 0.0000 0.0000  6 Pt 2.37
B1 0.5000 0.5000 0.5000  12 Pt 3.36
Pt1 0.0000 0.5000 0.0000  2 Mo 2.37
Pt2 0.0000 0.0000 0.5000  2 Mo 2.37
Pt3 0.5000 0.0000 0.0000  2 Mo 2.37

Summary:
Formation energy from the elements   980 kJ/mol of formula units
Crystal system   cubic
Space group   No. 221

[4]
SrBMoPt2 | SCAN | single point on PBEsol structure

Cell: 4.4138 5.0835 5.0835 Å, 90.00 90.00 90.00°
Last column: nearest neighbours and their distance in Å.
Positions (direct):
Sr1 0.0000 0.0000 0.0000  2 B 2.21
Mo1 0.5000 0.5000 0.5000  8 Pt 3.37, 4 B 3.59
B1 0.5000 0.0000 0.0000  2 Sr 2.21
Pt1 0.0000 0.0000 0.5000  2 Sr 2.54
Pt2 0.0000 0.5000 0.0000  2 Sr 2.54

Summary:
Formation energy from the elements   1173 kJ/mol of formula units
Crystal system   tetragonal
Space group   No. 123

[5]
TcBMo2Pt | SCAN | single point on PBEsol structure

Cell: 4.0121 4.1300 4.1300 Å, 90.00 90.00 90.00°
Last column: nearest neighbours and their distance in Å.
Positions (direct):
Mo1 0.0000 0.0000 0.5000  2 B 2.07
Mo2 0.0000 0.5000 0.0000  2 B 2.07
B1 0.0000 0.0000 0.0000  2 Pt 2.01, 4 Mo 2.07
Tc1 0.5000 0.5000 0.5000  8 Mo 2.88, 4 Pt 2.92
Pt1 0.5000 0.0000 0.0000  2 B 2.01

Summary:
Formation energy from the elements   28 kJ/mol of formula units
Crystal system   tetragonal
Space group   No. 123

[6]
B2Mo2Rh | SCAN | single point on PBEsol structure

Cell: 3.5917 5.5107 5.5107 Å, 90.00 90.00 90.00°
Last column: nearest neighbours and their distance in Å.
Positions (direct):
Mo1 0.5000 0.1695 0.6695  6 B 2.40-2.46, 1 Mo 2.64
Mo2 0.5000 0.6695 0.8305  6 B 2.40-2.46, 1 Mo 2.64
Mo3 0.5000 0.8305 0.3305  6 B 2.40-2.46, 1 Mo 2.64
Mo4 0.5000 0.3305 0.1695  6 B 2.40-2.46, 1 Mo 2.64
B1 0.0000 0.3843 0.8843  1 B 1.80
B2 0.0000 0.8843 0.6157  1 B 1.80
B3 0.0000 0.6157 0.1157  1 B 1.80
B4 0.0000 0.1157 0.3843  1 B 1.80
Rh1 0.0000 0.0000 0.0000  4 B 2.21
Rh2 0.0000 0.5000 0.5000  4 B 2.21

Summary:
Formation energy from the elements   -175 kJ/mol of formula units
Crystal system   tetragonal
Space group   No. 127

[7]
B3MoRh | SCAN | single point on PBEsol structure

Cell: 3.8914 3.8914 3.8914 Å, 90.00 90.00 90.00°
Last column: nearest neighbours and their distance in Å.
Positions (direct):
Mo1 0.5000 0.5000 0.5000  12 B 2.75
B1 0.0000 0.5000 0.0000  2 Rh 1.95
B2 0.0000 0.0000 0.5000  2 Rh 1.95
B3 0.5000 0.0000 0.0000  2 Rh 1.95
Rh1 0.0000 0.0000 0.0000  6 B 1.95

Summary:
Formation energy from the elements   654 kJ/mol of formula units
Crystal system   cubic
Space group   No. 221

[8]
B2MoRh | SCAN | single point on PBEsol structure

Cell: 4.4148 4.4148 6.1430 Å, 111.06 111.06 90.00°
Last column: nearest neighbours and their distance in Å.
Positions (direct):
Mo1 0.7500 0.2500 0.5000  4 B 2.12
Mo2 0.5000 0.5000 0.0000  4 B 2.12
B1 0.3437 0.8750 0.2500  2 Rh 1.97, 2 Mo 2.12
B2 0.9063 0.3750 0.2500  2 Rh 1.97, 2 Mo 2.12
B3 0.1250 0.0937 0.7500  2 Rh 1.97, 2 Mo 2.12
B4 0.6250 0.6563 0.7500  2 Rh 1.97, 2 Mo 2.12
Rh1 0.2500 0.7500 0.5000  4 B 1.97
Rh2 0.0000 0.0000 0.0000  4 B 1.97

Summary:
Formation energy from the elements   205 kJ/mol of formula units
Crystal system   tetragonal
Space group   No. 122

[9]
TlBMo2Rh | SCAN | single point on PBEsol structure

Cell: 4.6588 4.6588 4.9837 Å, 90.00 90.00 90.00°
Last column: nearest neighbours and their distance in Å.
Positions (direct):
Tl1 0.0000 0.0000 0.5000  2 Rh 2.49
B1 0.5000 0.5000 0.5000  4 Tl 3.29, 8 Mo 3.41
Rh1 0.0000 0.0000 0.0000  4 Mo 2.33, 2 Tl 2.49
Mo1 0.0000 0.5000 0.0000  2 Rh 2.33
Mo2 0.5000 0.0000 0.0000  2 Rh 2.33

Summary:
Formation energy from the elements   1064 kJ/mol of formula units
Crystal system   tetragonal
Space group   No. 123

[10]
BSbMo3 | SCAN | single point on PBEsol structure

Cell: 4.2166 4.2166 4.2166 Å, 90.00 90.00 90.00°
Last column: nearest neighbours and their distance in Å.
Positions (direct):
Sb1 0.5000 0.5000 0.5000  12 Mo 2.98
Mo1 0.0000 0.5000 0.0000  2 B 2.11
Mo2 0.0000 0.0000 0.5000  2 B 2.11
Mo3 0.5000 0.0000 0.0000  2 B 2.11
B1 0.0000 0.0000 0.0000  6 Mo 2.11

Summary:
Uncorrected formation energy   0.2934 eV/atom
Crystal system   cubic
Space group   No. 221

[11]
ScBMo3 | SCAN | single point on PBEsol structure

Cell: 4.4565 4.4565 4.4565 Å, 90.00 90.00 90.00°
Last column: nearest neighbours and their distance in Å.
Positions (direct):
Sc1 0.0000 0.0000 0.0000  6 Mo 2.23
Mo1 0.0000 0.5000 0.0000  2 Sc 2.23
Mo2 0.0000 0.0000 0.5000  2 Sc 2.23
Mo3 0.5000 0.0000 0.0000  2 Sc 2.23
B1 0.5000 0.5000 0.5000  12 Mo 3.15

Summary:
Formation energy from the elements   1399 kJ/mol of formula units
Crystal system   cubic
Space group   No. 221

[12]
ScB2Mo2 | SCAN | single point on PBEsol structure

Cell: 3.1658 6.0687 6.0687 Å, 90.00 90.00 90.00°
Last column: nearest neighbours and their distance in Å.
Positions (direct):
Sc1 0.0000 0.0000 0.0000  4 B 2.47, 8 Mo 2.75
Sc2 0.0000 0.5000 0.5000  4 B 2.47, 8 Mo 2.75
Mo1 0.5000 0.1722 0.6722  6 B 2.35-2.47
Mo2 0.5000 0.6722 0.8278  6 B 2.35-2.47
Mo3 0.5000 0.8278 0.3278  6 B 2.35-2.47
Mo4 0.5000 0.3278 0.1722  6 B 2.35-2.47
B1 0.0000 0.3933 0.8933  1 B 1.83
B2 0.0000 0.8933 0.6067  1 B 1.83
B3 0.0000 0.6067 0.1067  1 B 1.83
B4 0.0000 0.1067 0.3933  1 B 1.83

Summary:
Formation energy from the elements   -208 kJ/mol of formula units
Crystal system   tetragonal
Space group   No. 127

[13]
Tc2BMoSe | SCAN | single point on PBEsol structure

Cell: 4.0416 4.0416 4.3354 Å, 90.00 90.00 90.00°
Last column: nearest neighbours and their distance in Å.
Positions (direct):
Mo1 0.5000 0.5000 0.5000  4 Se 2.86, 8 Tc 2.96
B1 0.0000 0.0000 0.0000  4 Tc 2.02, 2 Se 2.17
Tc1 0.0000 0.5000 0.0000  2 B 2.02
Tc2 0.5000 0.0000 0.0000  2 B 2.02
Se1 0.0000 0.0000 0.5000  2 B 2.17

Summary:
Uncorrected formation energy   0.9377 eV/atom
Crystal system   tetragonal
Space group   No. 123

[14]
Tb3B7Mo | SCAN | single point on PBEsol structure

Cell: 3.4467 8.1580 9.4386 Å, 90.00 90.00 102.20°
Last column: nearest neighbours and their distance in Å.
Positions (direct):
Tb1 0.7437 0.4874 0.2500  10 B 2.63-2.70
Tb2 0.2563 0.5126 0.7500  10 B 2.63-2.70
Tb3 0.3935 0.7870 0.4394  11 B 2.63-2.73
Tb4 0.6065 0.2130 0.5606  11 B 2.63-2.73
Tb5 0.6065 0.2130 0.9394  11 B 2.63-2.73
Tb6 0.3935 0.7870 0.0606  11 B 2.63-2.73
B1 0.0202 0.0405 0.4078  3 B 1.80-1.90
B2 0.9798 0.9595 0.5922  3 B 1.80-1.90
B3 0.9798 0.9595 0.9078  3 B 1.80-1.90
B4 0.0202 0.0405 0.0922  3 B 1.80-1.90
B5 0.2274 0.4547 0.4681  3 B 1.84-1.96
B6 0.7726 0.5453 0.5319  3 B 1.84-1.96
B7 0.7726 0.5453 0.9681  3 B 1.84-1.96
B8 0.2274 0.4547 0.0319  3 B 1.84-1.96
B9 0.1349 0.2698 0.3523  3 B 1.84-1.93
B10 0.8651 0.7302 0.6477  3 B 1.84-1.93
B11 0.8651 0.7302 0.8523  3 B 1.84-1.93
B12 0.1349 0.2698 0.1477  3 B 1.84-1.93
B13 0.9572 0.9144 0.2500  2 B 1.80
B14 0.0428 0.0856 0.7500  2 B 1.80
Mo1 0.5537 0.1075 0.2500  10 B 2.31-2.36
Mo2 0.4463 0.8925 0.7500  10 B 2.31-2.36

Summary:
Formation energy from the elements   -659 kJ/mol of formula units
Crystal system   orthorhombic
Space group   No. 63

[15]
TcB3Mo | SCAN | single point on PBEsol structure

Cell: 3.9314 3.9314 3.9314 Å, 90.00 90.00 90.00°
Last column: nearest neighbours and their distance in Å.
Positions (direct):
Mo1 0.0000 0.0000 0.0000  6 B 1.97
B1 0.0000 0.5000 0.0000  2 Mo 1.97
B2 0.0000 0.0000 0.5000  2 Mo 1.97
B3 0.5000 0.0000 0.0000  2 Mo 1.97
Tc1 0.5000 0.5000 0.5000  12 B 2.78

Summary:
Formation energy from the elements   779 kJ/mol of formula units
Crystal system   cubic
Space group   No. 221

[16]
TcB2Mo2 | SCAN | single point on PBEsol structure

Cell: 3.0945 5.9414 5.9414 Å, 90.00 90.00 90.00°
Last column: nearest neighbours and their distance in Å.
Positions (direct):
Mo1 0.5000 0.1717 0.6717  6 B 2.32-2.38
Mo2 0.5000 0.6717 0.8283  6 B 2.32-2.38
Mo3 0.5000 0.8283 0.3283  6 B 2.32-2.38
Mo4 0.5000 0.3283 0.1717  6 B 2.32-2.38
B1 0.0000 0.3863 0.8863  1 B 1.91
B2 0.0000 0.8863 0.6137  1 B 1.91
B3 0.0000 0.6137 0.1137  1 B 1.91
B4 0.0000 0.1137 0.3863  1 B 1.91
Tc1 0.0000 0.0000 0.0000  4 B 2.39
Tc2 0.0000 0.5000 0.5000  4 B 2.39

Summary:
Formation energy from the elements   -172 kJ/mol of formula units
Crystal system   tetragonal
Space group   No. 127

[17]
BTeMo3 | SCAN | single point on PBEsol structure

Cell: 4.2222 4.2222 4.2222 Å, 90.00 90.00 90.00°
Last column: nearest neighbours and their distance in Å.
Positions (direct):
Mo1 0.0000 0.5000 0.0000  2 B 2.11
Mo2 0.0000 0.0000 0.5000  2 B 2.11
Mo3 0.5000 0.0000 0.0000  2 B 2.11
Te1 0.5000 0.5000 0.5000  12 Mo 2.99
B1 0.0000 0.0000 0.0000  6 Mo 2.11

Summary:
Uncorrected formation energy   0.4762 eV/atom
Crystal system   cubic
Space group   No. 221

[18]
BTe3Mo | SCAN | single point on PBEsol structure

Cell: 5.2124 5.2124 5.2124 Å, 90.00 90.00 90.00°
Last column: nearest neighbours and their distance in Å.
Positions (direct):
Mo1 0.0000 0.0000 0.0000  6 Te 2.61
Te1 0.0000 0.5000 0.0000  2 Mo 2.61
Te2 0.0000 0.0000 0.5000  2 Mo 2.61
Te3 0.5000 0.0000 0.0000  2 Mo 2.61
B1 0.5000 0.5000 0.5000  12 Te 3.69

Summary:
Uncorrected formation energy   1.3771 eV/atom
Crystal system   cubic
Space group   No. 221

[19]
Ti3B4Mo3 | SCAN | single point on PBEsol structure

Cell: 3.1312 5.9512 5.9512 Å, 90.54 90.00 90.00°
Last column: nearest neighbours and their distance in Å.
Positions (direct):
Ti1 0.0000 0.5000 0.9985  4 B 2.40-2.43, 2 Mo 2.69, 2 Ti 2.69
Ti2 0.0000 0.0015 0.5000  4 B 2.40-2.43, 2 Mo 2.69, 2 Ti 2.69
Ti3 0.5000 0.1752 0.8248  6 B 2.34-2.41
B1 0.0000 0.6095 0.3905  1 B 1.84
B2 0.0000 0.3918 0.6082  1 B 1.84
B3 0.0000 0.8907 0.8919  1 B 1.82
B4 0.0000 0.1081 0.1093  1 B 1.82
Mo1 0.5000 0.8213 0.1787  6 B 2.36-2.38
Mo2 0.5000 0.3241 0.3222  6 B 2.34-2.38
Mo3 0.5000 0.6778 0.6759  6 B 2.34-2.38

Summary:
Formation energy from the elements   -664 kJ/mol of formula units
Crystal system   orthorhombic
Space group   No. 38

[20]
Ti2B2Mo | SCAN | single point on PBEsol structure

Cell: 3.1362 5.9824 5.9824 Å, 90.00 90.00 90.00°
Last column: nearest neighbours and their distance in Å.
Positions (direct):
Mo1 0.0000 0.0000 0.0000  4 B 2.44, 8 Ti 2.70
Mo2 0.0000 0.5000 0.5000  4 B 2.44, 8 Ti 2.70
B1 0.0000 0.3935 0.8935  1 B 1.80
B2 0.0000 0.8935 0.6065  1 B 1.80
B3 0.0000 0.6065 0.1065  1 B 1.80
B4 0.0000 0.1065 0.3935  1 B 1.80
Ti1 0.5000 0.1820 0.6820  6 B 2.37-2.38
Ti2 0.5000 0.6820 0.8180  6 B 2.37-2.38
Ti3 0.5000 0.8180 0.3180  6 B 2.37-2.38
Ti4 0.5000 0.3180 0.1820  6 B 2.37-2.38

Summary:
Formation energy from the elements   -341 kJ/mol of formula units
Crystal system   tetragonal
Space group   No. 127